Computed, not measured: a geometry-optimized Sm6As3PSe2 structure at the PBE level of DFT.

Results
Its magnetic moment is 0.0 μB/cell. The calculation puts the total energy at -6.2435 eV per atom.

Cell: 4.1849 8.3747 9.3633 Å, 102.89 102.91 90.00°
Fractional positions:
Se 0.8326 0.6645 0.6653
Se 0.1674 0.3355 0.3347
P 0.5000 0.0000 0.0000
Sm 0.6629 0.5896 0.3258
Sm 0.3371 0.4104 0.6742
Sm 0.9981 0.2420 0.9961
Sm 0.0019 0.7580 0.0039
Sm 0.3368 0.9244 0.6735
Sm 0.6632 0.0756 0.3265
As 0.8316 0.1659 0.6633
As 0.5000 0.5000 0.0000
As 0.1684 0.8341 0.3367